Tb2Nd6DyTm PBE-GGA optimized geometry; density = 7.39 g cm⁻³; calculated volume = 34.03 Å³/atom; DOS(E_F) = 14.0 states/eV/f.u.; symmetry = C2/c; DFT total energy = -4.5784 eV/atom
1.0
4.626 -7.682 0.000
4.626 7.682 0.000
-1.257 0.000 9.576
Tb Nd Dy Tm
4 12 2 2
Direct
0.201 0.299 0.045
0.299 0.201 0.545
0.701 0.799 0.455
0.799 0.701 0.955
0.009 0.566 0.189
0.119 0.762 0.554
0.238 0.881 0.946
0.291 0.508 0.382
0.434 0.991 0.311
0.492 0.709 0.118
0.508 0.291 0.882
0.566 0.009 0.689
0.709 0.492 0.618
0.762 0.119 0.054
0.881 0.238 0.446
0.991 0.434 0.811
0.026 0.974 0.250
0.974 0.026 0.750
0.411 0.589 0.750
0.589 0.411 0.250

Tb4NdDy2Tm2 PBE-GGA optimized geometry; density = 8.33 g cm⁻³; calculated volume = 31.94 Å³/atom; DOS(E_F) = 11.8 states/eV/f.u.; symmetry = C2/m; DFT total energy = -4.5786 eV/atom
1.0
8.576 -1.777 0.000
8.576 1.777 0.000
-1.885 0.000 9.430
Tb Nd Dy Tm
4 1 2 2
Direct
0.016 0.016 0.328
0.322 0.322 0.759
0.678 0.678 0.241
0.984 0.984 0.672
0.500 0.500 0.000
0.348 0.348 0.409
0.652 0.652 0.591
0.165 0.165 0.921
0.835 0.835 0.079

TbNd2Dy6Tm PBE-GGA optimized geometry; density = 8.14 g cm⁻³; calculated volume = 32.46 Å³/atom; DOS(E_F) = 13.4 states/eV/f.u.; symmetry = C2/c; DFT total energy = -4.5092 eV/atom
1.0
4.512 -7.520 0.000
4.512 7.520 0.000
-1.491 0.000 9.567
Tb Nd Dy Tm
2 4 12 2
Direct
0.018 0.982 0.750
0.982 0.018 0.250
0.195 0.298 0.543
0.298 0.195 0.043
0.702 0.805 0.957
0.805 0.702 0.457
0.020 0.574 0.688
0.125 0.745 0.057
0.255 0.875 0.443
0.293 0.504 0.881
0.426 0.980 0.812
0.496 0.707 0.619
0.504 0.293 0.381
0.574 0.020 0.188
0.707 0.496 0.119
0.745 0.125 0.557
0.875 0.255 0.943
0.980 0.426 0.312
0.407 0.593 0.250
0.593 0.407 0.750

TbNd2DyTm5 PBE-GGA optimized geometry; density = 8.46 g cm⁻³; calculated volume = 31.74 Å³/atom; DOS(E_F) = 10.3 states/eV/f.u.; symmetry = I4/mcm; DFT total energy = -4.2988 eV/atom
1.0
-4.294 4.294 7.747
4.294 -4.294 7.747
4.294 4.294 -7.747
Tb Nd Dy Tm
2 4 2 10
Direct
0.250 0.250 0.000
0.750 0.750 0.000
0.117 0.617 0.735
0.383 0.117 0.500
0.617 0.883 0.500
0.883 0.383 0.265
0.250 0.750 0.500
0.750 0.250 0.500
0.000 0.000 0.000
0.072 0.148 0.500
0.148 0.648 0.076
0.352 0.428 0.500
0.428 0.928 0.076
0.500 0.500 0.000
0.572 0.072 0.924
0.648 0.572 0.500
0.852 0.352 0.924
0.928 0.852 0.500

Tb4Nd2Dy2Tm PBE-GGA optimized geometry; density = 8.08 g cm⁻³; calculated volume = 32.38 Å³/atom; DOS(E_F) = 11.8 states/eV/f.u.; symmetry = C2/m; DFT total energy = -4.6367 eV/atom
1.0
9.351 -1.804 0.000
9.351 1.804 0.000
-4.150 0.000 8.637
Tb Nd Dy Tm
4 2 2 1
Direct
0.019 0.019 0.334
0.314 0.314 0.665
0.686 0.686 0.335
0.981 0.981 0.666
0.165 0.165 0.999
0.835 0.835 0.001
0.353 0.353 0.337
0.647 0.647 0.663
0.500 0.500 0.000

Tb3Nd2Dy6Y PBE-GGA optimized geometry; density = 7.86 g cm⁻³; calculated volume = 32.22 Å³/atom; DOS(E_F) = 15.2 states/eV/f.u.; symmetry = C2/m; DFT total energy = -4.7765 eV/atom
1.0
3.095 -5.357 0.000
3.095 5.357 0.000
-2.051 0.000 11.658
Tb Nd Dy Y
3 2 6 1
Direct
0.000 0.000 0.000
0.334 0.666 0.000
0.666 0.334 0.000
0.167 0.833 0.500
0.833 0.167 0.500
0.082 0.415 0.248
0.252 0.252 0.753
0.415 0.082 0.248
0.585 0.918 0.752
0.748 0.748 0.247
0.918 0.585 0.752
0.500 0.500 0.500